Material: TaNiOs2
Method: DFT, PBE-GGA
State: optimized geometry

Unit cell a=8.830 b=2.816 c=4.775 alpha=90.00 beta=100.76 gamma=90.00
Space group C2/m (No. 12)
Symmetry-distinct sites (fractional):
Ta1 0.000 0.000 0.000 x2
Ni1 0.000 0.500 0.500 x2
Os1 0.246 0.000 0.728 x4

## Properties
As for the total magnetic moment: 0.00 μB per formula unit. The value obtained for the formation energy is -0.0454 eV per atom.